No. 1
Computed, not measured: a PBEsol-optimized structure of In2TeRu at the meta-GGA SCAN level of DFT.

Properties
ΔE_f (raw) = 0.3 eV per formula unit

Cell lengths 3.1740, 3.1740, 8.5311 Å; angles 90.00, 90.00, 90.00 degrees
Atoms (fractional coordinates):
Ru 0.0000 0.0000 0.5111
In 0.5000 0.5000 0.2929
In 0.0000 0.0000 0.0117
Te 0.5000 0.5000 0.6843

No. 2
Computed, not measured: a PBEsol-optimized structure of In2TeRu at the meta-GGA SCAN level of DFT.

Properties
ΔE_f (raw) = 1.7 eV per formula unit

Cell lengths 3.4298, 5.0297, 5.0297 Å; angles 109.60, 90.00, 90.00 degrees
Atoms (fractional coordinates):
Ru 0.5000 0.0000 0.0000
Te 0.5000 0.5000 0.5000
In 0.0000 0.0000 0.5000
In 0.0000 0.5000 0.0000

No. 3
Computed, not measured: a PBEsol-optimized structure of TlInRu at the meta-GGA SCAN level of DFT.

Properties
Formation energy = 0.36 eV per atom

Cell lengths 4.4893, 4.4893, 4.4893 Å; angles 60.00, 60.00, 60.00 degrees
Atoms (fractional coordinates):
Tl 0.0000 0.0000 0.0000
In 0.5000 0.5000 0.5000
Ru 0.2500 0.2500 0.2500

No. 4
Computed, not measured: a PBEsol-optimized structure of TlInRu2 at the meta-GGA SCAN level of DFT.

Properties
Formation energy = 0.70 eV per atom

Cell lengths 4.5992, 4.5992, 4.5992 Å; angles 60.00, 60.00, 60.00 degrees
Atoms (fractional coordinates):
Ru 0.0000 0.0000 0.0000
Ru 0.7500 0.7500 0.7500
Tl 0.2500 0.2500 0.2500
In 0.5000 0.5000 0.5000

Please write out number 1 again, unchanged.
Computed, not measured: a PBEsol-optimized structure of In2TeRu at the meta-GGA SCAN level of DFT.

Properties
ΔE_f (raw) = 0.3 eV per formula unit

Cell lengths 3.1740, 3.1740, 8.5311 Å; angles 90.00, 90.00, 90.00 degrees
Atoms (fractional coordinates):
Ru 0.0000 0.0000 0.5111
In 0.5000 0.5000 0.2929
In 0.0000 0.0000 0.0117
Te 0.5000 0.5000 0.6843